Entry from the Alexandria database: a relaxed OsAuSe2 crystal (PBE).

Results
Uncorrected formation energy (meV per atom): 337.3
DOS at the Fermi energy (states/eV per atom): 0.828

abc: 3.2115 3.2115 25.3086
angles: 90.00 90.00 120.00
Positions (direct):
Os: 0.0000 0.0000 0.0000
Os: 0.3333 0.6667 0.6667
Os: 0.6667 0.3333 0.3333
Au: 0.0000 0.0000 0.5000
Au: 0.3333 0.6667 0.1667
Au: 0.6667 0.3333 0.8333
Se: 0.0000 0.0000 0.2640
Se: 0.0000 0.0000 0.7360
Se: 0.3333 0.6667 0.4026
Se: 0.3333 0.6667 0.9307
Se: 0.6667 0.3333 0.0693
Se: 0.6667 0.3333 0.5974